# CaRe2Te

A relaxed CaRe2Te crystal (PBE-GGA, Alexandria).

a = 3.157 Å, b = 3.175 Å, c = 8.666 Å
α = 90.00°, β = 100.42°, γ = 90.00°
Space group Pm (No. 6)
One atom of each set of equivalent atoms:
Ca (0.000, 0.000, 0.000) (multiplicity 1)
Re (0.203, 0.000, 0.410) (multiplicity 1)
Re (0.628, 0.500, 0.258) (multiplicity 1)
Te (0.347, 0.500, 0.692) (multiplicity 1)

Crystal system: monoclinic
DOS at the Fermi energy in states/eV/atom: 0.826
Size of the total moment in μB per formula unit: 0.0
Total DFT energy (no corrections) in eV per atom: -7.31
Raw formation energy in eV/atom: 0.195